No. 1
A relaxed TaRuSCl2 crystal. Source: Alexandria, functional PBE.

Cell and atoms, written as CIF:
```
data_TaRuSCl2
_chemical_formula_sum 'Ta1 Ru1 S1 Cl2'
_cell_length_a 4.8210
_cell_length_b 4.8210
_cell_length_c 4.8061
_cell_angle_alpha 90.00
_cell_angle_beta 90.00
_cell_angle_gamma 90.00
_symmetry_space_group_name_H-M 'P 4/m m m'
_symmetry_Int_Tables_number 123
_symmetry_space_group_name_Hall '-P 4 2'
loop_
_atom_site_label
_atom_site_fract_x
_atom_site_fract_y
_atom_site_fract_z
Ta1 0.0000 0.0000 0.0000
Ru1 0.5000 0.5000 0.5000
S1 0.0000 0.0000 0.5000
Cl1 0.0000 0.5000 0.0000
```

Calculated values
Energy   -26.7 eV for the cell shown
V   22.341 A^3/atom
E_form (uncorrected)   0.454 eV per atom

No. 2
A relaxed FeTe2W crystal. Source: Alexandria, functional PBE.

Cell and atoms, written as CIF:
```
data_FeTe2W
_chemical_formula_sum 'Fe2 Te4 W2'
_cell_length_a 3.5344
_cell_length_b 3.8089
_cell_length_c 15.0992
_cell_angle_alpha 90.00
_cell_angle_beta 90.00
_cell_angle_gamma 90.00
_symmetry_space_group_name_H-M 'I m m m'
_symmetry_Int_Tables_number 71
_symmetry_space_group_name_Hall '-I 2 2'
loop_
_atom_site_label
_atom_site_fract_x
_atom_site_fract_y
_atom_site_fract_z
Fe1 0.0000 0.0000 0.0000
Te1 0.0000 0.5000 0.3672
W1 0.0000 0.0000 0.5000
```

Calculated values
Energy   -53.3 eV for the cell shown
V   25.409 A^3/atom
E_form (uncorrected)   0.257 eV per atom

No. 3
A relaxed Ca4NpN5 crystal. Source: Alexandria, functional PBE.

Cell and atoms, written as CIF:
```
data_Ca4NpN5
_chemical_formula_sum 'Ca8 Np2 N10'
_cell_length_a 7.7768
_cell_length_b 7.7768
_cell_length_c 4.9035
_cell_angle_alpha 90.00
_cell_angle_beta 90.00
_cell_angle_gamma 90.00
_symmetry_space_group_name_H-M 'I 4'
_symmetry_Int_Tables_number 79
loop_
_symmetry_equiv_pos_as_xyz
'x,y,z'
'-y,x,z'
'-x,-y,z'
'y,-x,z'
'x+1/2,y+1/2,z+1/2'
'-y+1/2,x+1/2,z+1/2'
'-x+1/2,-y+1/2,z+1/2'
'y+1/2,-x+1/2,z+1/2'
loop_
_atom_site_label
_atom_site_fract_x
_atom_site_fract_y
_atom_site_fract_z
Ca1 0.1026 0.2973 0.0000
Np1 0.0000 0.0000 0.4998
N1 0.0000 0.0000 0.0013
N2 0.0795 0.2553 0.5000
```

Calculated values
Energy   -147.9 eV for the cell shown
V   14.828 A^3/atom
E_form (uncorrected)   -1.135 eV per atom